# 1
Ac4Ag2Sn5: optimized geometry, PBE-GGA. Values from VASP.

Structure (Quantum ESPRESSO input):
```
&SYSTEM
  ibrav = 0, nat = 11, ntyp = 3
/
ATOMIC_SPECIES
Ag 107.87 Ag.upf
Sn 118.71 Sn.upf
Ac 227.00 Ac.upf
CELL_PARAMETERS angstrom
-0.001 -4.337 1.837
4.633 2.574 6.077
-7.523 2.118 4.997
ATOMIC_POSITIONS crystal
Ag 0.000 0.914 0.375
Ag 0.000 0.086 0.625
Sn 0.000 0.883 0.877
Sn 0.000 0.117 0.123
Sn 0.000 0.569 0.348
Sn 0.000 0.431 0.652
Sn 0.000 0.500 0.000
Ac 0.500 0.260 0.373
Ac 0.500 0.740 0.627
Ac 0.500 0.225 0.865
Ac 0.500 0.775 0.135
```

# 2
AcAgSn2: optimized geometry, PBE-GGA. Values from VASP.

Structure (Quantum ESPRESSO input):
```
&SYSTEM
  ibrav = 0, nat = 8, ntyp = 3
/
ATOMIC_SPECIES
Sn 118.71 Sn.upf
Ac 227.00 Ac.upf
Ag 107.87 Ag.upf
CELL_PARAMETERS angstrom
-4.542 1.145 1.284
0.191 -3.166 3.499
3.397 8.567 4.379
ATOMIC_POSITIONS crystal
Sn 0.750 0.749 0.498
Sn 0.750 0.463 0.925
Sn 0.250 0.537 0.075
Sn 0.250 0.251 0.502
Ac 0.250 0.896 0.791
Ac 0.750 0.104 0.209
Ag 0.750 0.327 0.655
Ag 0.250 0.673 0.345
```

# 3
Ac8AgSn5: optimized geometry, PBE-GGA. Values from VASP.

Structure (Quantum ESPRESSO input):
```
&SYSTEM
  ibrav = 0, nat = 14, ntyp = 3
/
ATOMIC_SPECIES
Ac 227.00 Ac.upf
Sn 118.71 Sn.upf
Ag 107.87 Ag.upf
CELL_PARAMETERS angstrom
-1.388 3.176 -8.073
-2.619 -8.377 0.410
-4.559 4.843 5.740
ATOMIC_POSITIONS crystal
Ac 0.485 0.608 0.243
Ac 0.129 0.748 0.014
Ac 0.757 0.243 0.365
Ac 0.619 0.885 0.871
Ac 0.986 0.115 0.734
Ac 0.122 0.757 0.515
Ac 0.266 0.252 0.381
Ac 0.635 0.392 0.878
Sn 0.373 0.126 0.998
Sn 0.872 0.874 0.246
Sn 0.754 0.626 0.627
Sn 0.500 0.000 0.500
Sn 0.002 0.374 0.128
Ag 0.250 0.500 0.750
```

Energy of formation: -563; -492; -583 (meV/atom)
Energy: -4.39; -4.23; -4.56 (eV per atom)